The following is a PBE-GGA calculation of TmB2C after structural relaxation, from OQMD.

Computed properties:
- VASP energy: -7.322 eV/atom

Cell: 6.7506 6.7506 7.2770 Å, 90.00 90.00 90.00°
Closest atoms and distances in Å follow each position.
Positions (direct):
Tm 0.1907 0.3093 0.2500  4 C 2.56-2.57, 10 B 2.60-2.74
Tm 0.1907 0.3093 0.7500  4 C 2.56-2.57, 10 B 2.60-2.74
Tm 0.3093 0.8093 0.2500  4 C 2.56-2.57, 10 B 2.60-2.74
Tm 0.3093 0.8093 0.7500  4 C 2.56-2.57, 10 B 2.60-2.74
Tm 0.6907 0.1907 0.2500  4 C 2.56-2.57, 10 B 2.60-2.74
Tm 0.6907 0.1907 0.7500  4 C 2.56-2.57, 10 B 2.60-2.74
Tm 0.8093 0.6907 0.2500  4 C 2.56-2.57, 10 B 2.60-2.74
Tm 0.8093 0.6907 0.7500  4 C 2.56-2.57, 10 B 2.60-2.74
B 0.0343 0.8475 0.0000  2 C 1.62, 1 B 1.74
B 0.0938 0.5969 0.0000  1 C 1.59, 1 B 1.74
B 0.0969 0.5938 0.5000  1 C 1.59, 1 B 1.74
B 0.1525 0.0343 0.5000  2 C 1.62, 1 B 1.74
B 0.3475 0.5343 0.5000  2 C 1.62, 1 B 1.74
B 0.4031 0.0938 0.5000  1 C 1.59, 1 B 1.74
B 0.4062 0.0969 0.0000  1 C 1.59, 1 B 1.74
B 0.4657 0.3475 0.0000  2 C 1.62, 1 B 1.74
B 0.5343 0.6525 0.0000  2 C 1.62, 1 B 1.74
B 0.5938 0.9031 0.0000  1 C 1.59, 1 B 1.74
B 0.5969 0.9062 0.5000  1 C 1.59, 1 B 1.74
B 0.6525 0.4657 0.5000  2 C 1.62, 1 B 1.74
B 0.8475 0.9657 0.5000  2 C 1.62, 1 B 1.74
B 0.9031 0.4062 0.5000  1 C 1.59, 1 B 1.74
B 0.9062 0.4031 0.0000  1 C 1.59, 1 B 1.74
B 0.9657 0.1525 0.0000  2 C 1.62, 1 B 1.74
C 0.0403 0.8224 0.5000  3 B 1.59-1.62
C 0.1776 0.0403 0.0000  3 B 1.59-1.62
C 0.3224 0.5403 0.0000  3 B 1.59-1.62
C 0.4597 0.3224 0.5000  3 B 1.59-1.62
C 0.5403 0.6776 0.5000  3 B 1.59-1.62
C 0.6776 0.4597 0.0000  3 B 1.59-1.62
C 0.8224 0.9597 0.0000  3 B 1.59-1.62
C 0.9597 0.1776 0.5000  3 B 1.59-1.62



The following is a PBE-GGA calculation of Cu5Ag4 after structural relaxation, from OQMD.

Computed properties:
- Energy relative to the elements: 0.76 eV/f.u.
- E above lowest polymorph: 0.044 eV per atom

Cell: 7.0675 7.0675 6.8214 Å, 98.07 98.07 23.13°
Closest atoms and distances in Å follow each position.
Positions (direct):
Cu 0.0000 0.0000 0.0000  7 Cu 2.56-2.83, 4 Ag 2.76-2.77
Cu 0.3478 0.3478 0.0185  6 Cu 2.52-2.56, 2 Ag 2.80
Cu 0.5629 0.5629 0.3071  4 Cu 2.51-2.58, 3 Ag 2.68-2.72
Cu 0.7827 0.7827 0.7211  4 Cu 2.53-2.83, 7 Ag 2.66-2.77
Cu 0.9136 0.9136 0.3126  5 Cu 2.51-2.59, 4 Ag 2.73-2.75
Ag 0.1143 0.1143 0.6471  4 Cu 2.71-2.72, 7 Ag 2.83-2.89
Ag 0.2501 0.2501 0.3697  7 Cu 2.75-2.93, 6 Ag 2.83-3.03
Ag 0.4377 0.4377 0.6581  7 Cu 2.66-2.91, 4 Ag 2.83-2.84
Ag 0.6727 0.6727 0.0148  6 Cu 2.68-2.80, 6 Ag 2.83-2.89



The following is a PBE-GGA calculation of ZnMo after structural relaxation, from OQMD.

Computed properties:
- Energy relative to the elements: 0.29 eV/f.u.
- E above lowest polymorph: 0.083 eV per atom

Cell: 4.5855 8.5431 4.6385 Å, 90.00 90.00 90.00°
Closest atoms and distances in Å follow each position.
Positions (direct):
Zn 0.0000 0.0777 0.0000  6 Zn 2.56-2.78, 4 Mo 2.74-2.82
Zn 0.0000 0.2449 0.4574  2 Zn 2.56-2.76, 6 Mo 2.70-2.81
Zn 0.0000 0.7551 0.9574  2 Zn 2.56-2.76, 6 Mo 2.70-2.81
Zn 0.0000 0.9223 0.5000  6 Zn 2.56-2.78, 4 Mo 2.74-2.82
Zn 0.5000 0.2464 0.8660  8 Mo 2.66-2.87, 4 Zn 2.78-2.97
Zn 0.5000 0.7536 0.3660  8 Mo 2.66-2.87, 4 Zn 2.78-2.97
Mo 0.0000 0.4262 0.9334  4 Mo 2.64-2.66, 5 Zn 2.70-2.88
Mo 0.0000 0.5738 0.4334  4 Mo 2.64-2.66, 5 Zn 2.70-2.88
Mo 0.5000 0.0792 0.3530  9 Zn 2.67-2.82, 3 Mo 2.69-2.89
Mo 0.5000 0.4174 0.3858  5 Mo 2.66-2.89, 5 Zn 2.66-2.87
Mo 0.5000 0.5826 0.8858  5 Mo 2.66-2.89, 5 Zn 2.66-2.87
Mo 0.5000 0.9208 0.8530  9 Zn 2.67-2.82, 3 Mo 2.69-2.89



The following is a PBE-GGA calculation of SmGdAuS3 after structural relaxation, from OQMD.

Computed properties:
- E above lowest polymorph: 0.000 eV per atom

Cell: 7.6214 3.9451 9.2142 Å, 90.00 106.10 90.00°
Closest atoms and distances in Å follow each position.
Positions (direct):
Sm 0.2483 0.2500 0.2038  7 S 2.93-2.97, 1 Au 3.00
Sm 0.7517 0.7500 0.7962  7 S 2.93-2.97, 1 Au 3.00
Gd 0.1984 0.7500 0.6751  6 S 2.78-2.85, 2 Au 3.07
Gd 0.8016 0.2500 0.3249  6 S 2.78-2.85, 2 Au 3.07
Au 0.3831 0.2500 0.9270  3 S 2.63-2.78, 2 Au 2.75
Au 0.6169 0.7500 0.0730  3 S 2.63-2.78, 2 Au 2.75
S 0.0795 0.7500 0.3600  3 Gd 2.79-2.85, 2 Sm 2.94
S 0.1411 0.7500 0.9605  2 Au 2.78, 1 Gd 2.78, 3 Sm 2.93
S 0.4584 0.2500 0.6652  1 Au 2.63, 2 Gd 2.82
S 0.5416 0.7500 0.3348  1 Au 2.63, 2 Gd 2.82
S 0.8589 0.2500 0.0395  2 Au 2.78, 1 Gd 2.78, 3 Sm 2.93
S 0.9205 0.2500 0.6400  3 Gd 2.79-2.85, 2 Sm 2.94



The following is a PBE-GGA calculation of CsNbMo after structural relaxation, from OQMD.

Computed properties:
- VASP energy: -4.304 eV/atom

Cell: 4.6045 4.6045 4.6045 Å, 60.00 60.00 60.00°
Closest atoms and distances in Å follow each position.
Positions (direct):
Cs 0.0000 0.0000 0.0000  4 Mo 2.82, 4 Nb 2.82
Nb 0.2500 0.2500 0.2500  4 Cs 2.82
Mo 0.7500 0.7500 0.7500  4 Cs 2.82



The following is a PBE-GGA calculation of Cs2Ni2PtS4 after structural relaxation, from OQMD.

Computed properties:
- VASP energy: -4.674 eV/atom

Cell: 9.0635 7.9419 6.0752 Å, 79.35 59.45 41.20°
Closest atoms and distances in Å follow each position.
Positions (direct):
Cs 0.1591 0.1591 0.8409  6 S 3.55-3.63, 2 Pt 3.80, 4 Ni 3.84
Cs 0.8409 0.8409 0.1591  6 S 3.55-3.63, 2 Pt 3.80, 4 Ni 3.84
Ni 0.0000 0.0000 0.5000  4 S 2.23
Ni 0.5000 0.5000 0.0000  4 S 2.23
Pt 0.5000 0.5000 0.5000  4 S 2.35
S 0.2263 0.5770 0.4230  2 Ni 2.23, 1 Pt 2.35
S 0.4230 0.7737 0.2263  2 Ni 2.23, 1 Pt 2.35
S 0.5770 0.2263 0.7737  2 Ni 2.23, 1 Pt 2.35
S 0.7737 0.4230 0.5770  2 Ni 2.23, 1 Pt 2.35



The following is a PBE-GGA calculation of HfBeIr2 after structural relaxation, from OQMD.

Computed properties:
- VASP energy: -8.014 eV/atom

Cell: 4.4077 4.4077 4.4077 Å, 60.00 60.00 60.00°
Closest atoms and distances in Å follow each position.
Positions (direct):
Hf 0.0000 0.0000 0.0000  4 Be 2.70, 4 Ir 2.70
Be 0.7500 0.7500 0.7500  4 Ir 2.70, 4 Hf 2.70
Ir 0.2500 0.2500 0.2500  4 Hf 2.70, 4 Ir 2.70
Ir 0.5000 0.5000 0.5000  4 Be 2.70, 4 Ir 2.70



The following is a PBE-GGA calculation of RbSrEr after structural relaxation, from OQMD.

Computed properties:
- E above lowest polymorph: 0.118 eV per atom

Cell: 6.2648 6.2648 6.2648 Å, 60.00 60.00 60.00°
Closest atoms and distances in Å follow each position.
Positions (direct):
Rb 0.0000 0.0000 0.0000  4 Er 3.84, 4 Sr 3.84
Sr 0.2500 0.2500 0.2500  4 Rb 3.84
Er 0.7500 0.7500 0.7500  4 Rb 3.84



The following is a PBE-GGA calculation of ReIrAu2 after structural relaxation, from OQMD.

Computed properties:
- Energy relative to the elements: 2.82 eV/f.u.
- E above lowest polymorph: 0.056 eV per atom

Cell: 4.4930 4.4930 4.4930 Å, 60.00 60.00 60.00°
Closest atoms and distances in Å follow each position.
Positions (direct):
Re 0.0000 0.0000 0.0000  8 Au 2.75
Ir 0.5000 0.5000 0.5000  8 Au 2.75
Au 0.2500 0.2500 0.2500  4 Re 2.75, 4 Ir 2.75
Au 0.7500 0.7500 0.7500  4 Re 2.75, 4 Ir 2.75



The following is a PBE-GGA calculation of LaNdZn4 after structural relaxation, from OQMD.

Computed properties:
- Energy relative to the elements: -2.21 eV/f.u.

Cell: 5.8082 5.8082 5.8082 Å, 133.05 100.37 97.89°
Closest atoms and distances in Å follow each position.
Positions (direct):
La 0.0000 0.0000 0.0000  12 Zn 3.14-3.38
Nd 0.4324 0.9324 0.5000  12 Zn 3.13-3.39
Zn 0.4339 0.6305 0.8034  4 Zn 2.65-2.92
Zn 0.6027 0.2995 0.3032  4 Zn 2.65-2.93
Zn 0.8270 0.6305 0.1966  4 Zn 2.65-2.92
Zn 0.9963 0.2995 0.6968  4 Zn 2.65-2.93



The following is a PBE-GGA calculation of TlPIrO after structural relaxation, from OQMD.

Computed properties:
- E above lowest polymorph: 0.899 eV per atom

Cell: 4.3391 4.3391 7.4880 Å, 90.00 90.00 90.00°
Closest atoms and distances in Å follow each position.
Positions (direct):
Tl 0.2500 0.7500 0.0000  4 P 2.95, 4 Tl 3.07
Tl 0.7500 0.2500 0.0000  4 P 2.95, 4 Tl 3.07
P 0.2500 0.2500 0.2668  1 Ir 2.22
P 0.7500 0.7500 0.7332  1 Ir 2.22
Ir 0.2500 0.2500 0.5626  1 P 2.22, 4 O 2.22
Ir 0.7500 0.7500 0.4374  1 P 2.22, 4 O 2.22
O 0.2500 0.7500 0.5000  4 Ir 2.22
O 0.7500 0.2500 0.5000  4 Ir 2.22



The following is a PBE-GGA calculation of Ho2Ga8Co after structural relaxation, from OQMD.

Computed properties:
- VASP energy: -4.167 eV/atom

Cell: 4.2190 4.2190 11.0577 Å, 90.00 90.00 90.00°
Closest atoms and distances in Å follow each position.
Positions (direct):
Ho 0.0000 0.0000 0.1942  12 Ga 2.97-3.01
Ho 0.0000 0.0000 0.8058  12 Ga 2.97-3.01
Ga 0.0000 0.5000 0.0000  8 Ga 2.98-3.05, 4 Ho 3.01
Ga 0.0000 0.5000 0.3834  2 Co 2.47, 1 Ga 2.58
Ga 0.0000 0.5000 0.6166  2 Co 2.47, 1 Ga 2.58
Ga 0.5000 0.0000 0.0000  8 Ga 2.98-3.05, 4 Ho 3.01
Ga 0.5000 0.0000 0.3834  2 Co 2.47, 1 Ga 2.58
Ga 0.5000 0.0000 0.6166  2 Co 2.47, 1 Ga 2.58
Ga 0.5000 0.5000 0.1990  8 Ga 2.93-3.05, 4 Ho 2.98
Ga 0.5000 0.5000 0.8010  8 Ga 2.93-3.05, 4 Ho 2.98
Co 0.0000 0.0000 0.5000  8 Ga 2.47